Sm5YTl2 after structural relaxation, computed with PBE-GGA.

Unit cell a=3.6757 b=10.8958 c=12.5162 alpha=90.00 beta=90.00 gamma=90.00
Last column: nearest neighbours and their distance in Å.
Space group Immm (No. 71)
Inequivalent atoms, fractional coordinates:
Sm (0.0000, 0.0000, 0.0000) x2  2 Tl 3.42, 10 Sm 3.49-3.68
Sm (0.0000, 0.2782, 0.3627) x8  3 Tl 3.23-3.48, 5 Sm 3.42-3.49
Y (0.0000, 0.5000, 0.0000) x2  4 Tl 3.38, 2 Y 3.68
Tl (0.0000, 0.0000, 0.2735) x4  7 Sm 3.23-3.48, 2 Y 3.38

Results
energy above the lowest structure with this stoichiometry: 0 meV/atom

---

Sm12Y5Tl2 after structural relaxation, computed with PBE-GGA.

Unit cell a=15.5352 b=9.3503 c=8.5813 alpha=90.00 beta=93.02 gamma=90.00
Last column: nearest neighbours and their distance in Å.
Space group C2/m (No. 12)
Inequivalent atoms, fractional coordinates:
Sm (0.0543, 0.0000, 0.3211) x4  2 Tl 3.31, 7 Sm 3.33-3.58, 2 Y 3.35-3.48
Sm (0.0839, 0.5000, 0.8862) x4  5 Sm 3.34-3.57, 2 Tl 3.41, 3 Y 3.50-3.64
Sm (0.1238, 0.1955, 0.6571) x8  5 Sm 3.33-3.66, 4 Y 3.40-3.65, 1 Tl 3.60
Sm (0.1495, 0.3148, 0.2364) x8  1 Tl 3.25, 4 Sm 3.39-3.59, 2 Y 3.61-3.63
Y (0.0000, 0.5000, 0.5000) x2  10 Sm 3.50-3.75, 2 Y 3.67
Y (0.1861, 0.0000, 0.0054) x4  2 Tl 3.36, 6 Sm 3.48-3.64, 1 Y 3.68
Y (0.2338, 0.5000, 0.5839) x4  10 Sm 3.35-3.75, 2 Y 3.67-3.68
Tl (0.0000, 0.1826, 0.0000) x4  8 Sm 3.25-3.60, 2 Y 3.36, 1 Tl 3.41

---

Number 1: energy -4.46 eV per atom. Number 2: energy -4.92 eV per atom.